Record 1
The following is a GGA-PBEsol calculation of a geometry-optimized YHf3Au structure, from the Alexandria database.

* symmetry: No. 221
* crystal system: cubic
* ΔH_f (0 K): 0.53 eV/atom
* size of the total moment: 0.00 μB/cell
* ρ: 10.219 g cm⁻³

```
YHf3Au
1.0
5.110 0.000 0.000
0.000 5.110 0.000
0.000 0.000 5.110
Y Hf Au
1 3 1
direct
0.500 0.500 0.500
0.000 0.500 0.000
0.000 0.000 0.500
0.500 0.000 0.000
0.000 0.000 0.000
```



Record 2
The following is a GGA-PBEsol calculation of a geometry-optimized LiTaNi2 structure, from the Alexandria database.

* symmetry: No. 139
* crystal system: tetragonal
* ΔH_f (0 K): -0.07 eV/atom
* size of the total moment: 0.00 μB/cell
* ρ: 10.367 g cm⁻³

```
LiTaNi2
1.0
-0.662 -1.213 3.513
1.418 -3.381 -0.900
2.745 3.353 -0.353
Li Ni Ta
1 2 1
direct
0.000 0.000 0.000
0.750 0.250 0.500
0.250 0.750 0.500
0.500 0.500 0.000
```



Record 3
The following is a GGA-PBEsol calculation of a geometry-optimized YCuSe2 structure, from the Alexandria database.

* symmetry: No. 6
* crystal system: monoclinic
* size of the total moment: 0.00 μB/cell
* formation energy (no corrections): -107 kJ per mole of atoms
* ρ: 6.063 g cm⁻³

```
YCuSe2
1.0
-1.030 -2.167 -2.911
1.278 -3.353 2.044
-4.451 0.526 3.646
Cu Se Y
1 2 1
direct
0.689 0.500 0.751
0.777 0.000 0.931
0.474 0.500 0.324
0.059 0.000 0.494
```



Record 4
The following is a GGA-PBEsol calculation of a geometry-optimized CaLa2Cu structure, from the Alexandria database.

* symmetry: No. 216
* E above lowest polymorph: 0.278 eV per atom
* crystal system: cubic
* ΔH_f (0 K): 0.28 eV/atom
* size of the total moment: 0.78 μB/cell
* ρ: 6.048 g cm⁻³

```
CaLa2Cu
1.0
5.291 0.000 0.000
2.645 4.582 0.000
2.645 1.527 4.320
Ca Cu La
1 1 2
direct
0.500 0.500 0.500
0.250 0.250 0.250
0.000 0.000 0.000
0.750 0.750 0.750
```



Record 5
The following is a GGA-PBEsol calculation of a geometry-optimized IrPb structure, from the Alexandria database.

* symmetry: No. 129
* crystal system: tetragonal
* ΔH_f (0 K): 0.41 eV/atom
* size of the total moment: 0.00 μB/cell
* ρ: 15.644 g cm⁻³

```
IrPb
1.0
3.225 0.000 0.000
0.000 3.225 0.000
0.000 0.000 8.154
Ir Pb
2 2
direct
0.500 0.000 0.923
0.000 0.500 0.077
0.500 0.000 0.317
0.000 0.500 0.683
```



Record 6
The following is a GGA-PBEsol calculation of a geometry-optimized Sc2CdP structure, from the Alexandria database.

* symmetry: No. 216
* E above lowest polymorph: 0.898 eV per atom
* crystal system: cubic
* ΔH_f (0 K): 0.06 eV/atom
* size of the total moment: 0.00 μB/cell
* ρ: 5.029 g cm⁻³

```
Sc2CdP
1.0
4.776 0.000 0.000
2.388 4.136 0.000
2.388 1.379 3.899
Cd P Sc
1 1 2
direct
0.500 0.500 0.500
0.250 0.250 0.250
0.000 0.000 0.000
0.750 0.750 0.750
```



Record 7
The following is a GGA-PBEsol calculation of a geometry-optimized ZnSb2Os structure, from the Alexandria database.

* symmetry: No. 44
* crystal system: orthorhombic
* size of the total moment: 0.00 μB/cell
* formation energy (no corrections): 37 kJ per mole of atoms
* ρ: 10.153 g cm⁻³

```
ZnSb2Os
1.0
3.111 0.000 0.000
0.000 4.205 0.000
-1.556 -2.103 6.240
Os Sb Zn
1 2 1
direct
0.728 0.228 0.457
0.053 0.053 0.106
0.282 0.782 0.564
0.436 0.436 0.873
```



Record 8
The following is a GGA-PBEsol calculation of a geometry-optimized Cr2SiSb structure, from the Alexandria database.

* symmetry: No. 38
* E above lowest polymorph: 0.021 eV per atom
* crystal system: orthorhombic
* size of the total moment: 1.77 μB/cell
* formation energy (no corrections): 34 kJ per mole of atoms
* ρ: 6.958 g cm⁻³

```
Cr2SiSb
1.0
2.998 0.000 0.000
0.000 4.384 0.000
-1.499 0.000 4.610
Cr Sb Si
2 1 1
direct
0.198 0.000 0.395
0.579 0.500 0.159
0.932 0.000 0.864
0.295 0.500 0.589
```